Here is a geometry-optimized Y3Te structure from Alexandria. Energies are from GGA-PBE.

Cell lengths 6.7941, 6.7941, 11.2026 Å; angles 90.00, 90.00, 120.00 degrees
Positions (direct):
Y 0.3296 0.1648 0.2500
Y 0.5000 0.5000 0.5000
Y 0.0000 0.5000 0.5000
Y 0.0000 0.5000 0.0000
Y 0.5000 0.5000 0.0000
Y 0.6704 0.8352 0.7500
Te 0.0000 0.0000 0.0000
Te 0.3333 0.6667 0.2500
Y 0.8352 0.1648 0.2500
Y 0.1648 0.3296 0.7500
Te 0.0000 0.0000 0.5000
Y 0.5000 0.0000 0.5000
Y 0.8352 0.6704 0.2500
Y 0.5000 0.0000 0.0000
Te 0.6667 0.3333 0.7500
Y 0.1648 0.8352 0.7500

Computed properties:
Crystal system   hexagonal
Energy   -6.023 eV/atom
Energy above the most stable polymorph in this dataset   297 meV/atom
Formation energy from raw total energies   -0.389 eV/atom
Theoretical density   5.8 g/cm³

---

Here is a geometry-optimized Y5Te8 structure from Alexandria. Energies are from GGA-PBE.

Cell lengths 8.6757, 8.6757, 8.4825 Å; angles 104.06, 105.67, 119.90 degrees
Positions (direct):
Y 0.2392 0.7392 0.5000
Te 0.2811 0.4520 0.2495
Te 0.2100 0.5467 0.7567
Te 0.7189 0.5480 0.7505
Te 0.7049 0.0277 0.7326
Te 0.2951 0.9723 0.2674
Y 0.7608 0.2608 0.5000
Te 0.2026 0.0317 0.7505
Y 0.7406 0.7322 0.4728
Te 0.7900 0.4533 0.2433
Te 0.7974 0.9683 0.2495
Y 0.0000 0.0000 0.0000
Y 0.2594 0.2678 0.5272

Computed properties:
Crystal system   monoclinic
Energy   -5.739 eV/atom
Formation energy from raw total energies   -1.320 eV/atom
Theoretical density   5.1 g/cm³

---

Here is a geometry-optimized Y5Te structure from Alexandria. Energies are from GGA-PBE.

Cell lengths 7.9893, 7.9893, 4.9229 Å; angles 90.00, 90.00, 145.38 degrees
Positions (direct):
Y 0.6690 0.3310 0.5000
Y 0.0000 0.0000 0.5000
Te 0.5000 0.5000 0.0000
Y 0.8372 0.1628 0.0000
Y 0.3310 0.6690 0.5000
Y 0.1628 0.8372 0.0000

Computed properties:
Crystal system   orthorhombic
Energy   -6.179 eV/atom
Energy above the most stable polymorph in this dataset   96 meV/atom
Formation energy from raw total energies   -0.269 eV/atom
Theoretical density   5.3 g/cm³

---

Here is a geometry-optimized YTe3 structure from Alexandria. Energies are from GGA-PBE.

Cell lengths 4.8746, 4.8746, 4.8746 Å; angles 90.00, 90.00, 90.00 degrees
Positions (direct):
Te 0.0000 0.5000 0.5000
Y 0.0000 0.0000 0.0000
Te 0.5000 0.5000 0.0000
Te 0.5000 0.0000 0.5000

Computed properties:
Crystal system   cubic
Energy   -4.359 eV/atom
Formation energy from raw total energies   -0.386 eV/atom
Theoretical density   6.8 g/cm³

---

Here is a geometry-optimized Y2Te3 structure from Alexandria. Energies are from GGA-PBE.

Cell lengths 11.1786, 11.1786, 11.1786 Å; angles 22.64, 22.64, 22.64 degrees
Positions (direct):
Te 0.7768 0.7768 0.7768
Te 0.2232 0.2232 0.2232
Y 0.3949 0.3949 0.3949
Y 0.6051 0.6051 0.6051
Te 0.0000 0.0000 0.0000

Computed properties:
Crystal system   trigonal
Energy   -5.842 eV/atom
Formation energy from raw total energies   -1.371 eV/atom
Theoretical density   5.1 g/cm³

---

Here is a geometry-optimized Y3Te structure from Alexandria. Energies are from GGA-PBE.

Cell lengths 5.4633, 5.4633, 5.4633 Å; angles 60.00, 60.00, 60.00 degrees
Last column: magnetic moment on the atom in μB.
Positions (direct):
Y 0.2500 0.2500 0.2500  0.06
Y 0.5000 0.5000 0.5000  0.18
Y 0.7500 0.7500 0.7500  0.06
Te 0.0000 0.0000 0.0000  0.00

Computed properties:
Crystal system   cubic
Energy   -5.813 eV/atom
Energy above the most stable polymorph in this dataset   507 meV/atom
Formation energy from raw total energies   -0.179 eV/atom
Theoretical density   5.7 g/cm³

---

Here is a geometry-optimized Y2Te structure from Alexandria. Energies are from GGA-PBE.

Cell lengths 6.6507, 6.6507, 6.6507 Å; angles 125.12, 125.12, 81.34 degrees
Last column: magnetic moment on the atom in μB.
Positions (direct):
Y 0.8039 0.8039 0.0000  0.20
Y 0.5539 0.0539 0.5000  0.20
Y 0.1961 0.1961 0.0000  0.20
Te 0.5000 0.5000 0.0000  0.01
Y 0.9461 0.4461 0.5000  0.20
Te 0.2500 0.7500 0.5000  0.01

Computed properties:
Crystal system   tetragonal
Energy   -6.043 eV/atom
Formation energy from raw total energies   -0.686 eV/atom
Theoretical density   5.4 g/cm³

---

Here is a geometry-optimized Y2Te3 structure from Alexandria. Energies are from GGA-PBE.

Cell lengths 5.4021, 5.4021, 6.3998 Å; angles 90.00, 90.00, 120.00 degrees
Positions (direct):
Y 0.3333 0.6667 0.7898
Te 0.0000 0.0000 0.0000
Te 0.3333 0.6667 0.3020
Te 0.6667 0.3333 0.6980
Y 0.6667 0.3333 0.2102

Computed properties:
Crystal system   trigonal
Energy   -5.649 eV/atom
Formation energy from raw total energies   -1.178 eV/atom
Theoretical density   5.8 g/cm³

---

What is the formula in the seventh record?
Y2Te

---

Which formula does entry 5 have?
Y2Te3

---

Look up the formation energy from raw total energies of the second one.
-1.320 eV/atom